[1]
Material: CePr6Er5
Method: DFT, PBE-GGA
State: relaxed

Properties
SG   No. 71
E   -4.75 eV per atom
Magnetization   1.09 μB/f.u.

Lattice parameters (Å, degrees): 9.550 9.550 9.550 148.68 116.07 72.92
Fractional positions:
Ce 0.000 0.000 0.000
Pr 0.085 0.835 0.250
Pr 0.249 0.500 0.749
Pr 0.415 0.165 0.250
Pr 0.585 0.835 0.750
Pr 0.751 0.500 0.251
Pr 0.915 0.165 0.750
Er 0.166 0.666 0.500
Er 0.332 0.332 0.000
Er 0.500 0.000 0.500
Er 0.668 0.668 0.000
Er 0.834 0.334 0.500


[2]
Material: CePr10Er4
Method: DFT, PBE-GGA
State: relaxed

Properties
SG   No. 87
E   -4.48 eV per atom
Magnetization   1.19 μB/f.u.

Lattice parameters (Å, degrees): 8.838 8.838 8.838 111.82 111.82 104.88
Fractional positions:
Ce 0.000 0.000 0.000
Pr 0.130 0.228 0.670
Pr 0.228 0.558 0.098
Pr 0.250 0.750 0.500
Pr 0.442 0.540 0.670
Pr 0.460 0.130 0.902
Pr 0.540 0.870 0.098
Pr 0.558 0.460 0.330
Pr 0.750 0.250 0.500
Pr 0.772 0.442 0.902
Pr 0.870 0.772 0.330
Er 0.060 0.667 0.727
Er 0.333 0.060 0.394
Er 0.667 0.940 0.606
Er 0.940 0.333 0.273


[3]
Material: CePr2ErPt2
Method: DFT, PBE-GGA
State: relaxed

Properties
SG   No. 72
E   -6.13 eV per atom
Magnetization   0.44 μB/f.u.

Lattice parameters (Å, degrees): 8.622 8.622 8.622 133.14 68.27 133.35
Fractional positions:
Ce 0.250 0.250 0.000
Ce 0.750 0.750 0.000
Pr 0.190 0.243 0.434
Pr 0.310 0.743 0.053
Pr 0.690 0.257 0.947
Pr 0.810 0.757 0.566
Er 0.250 0.750 0.500
Er 0.750 0.250 0.500
Pt 0.110 0.749 0.859
Pt 0.390 0.249 0.640
Pt 0.610 0.751 0.360
Pt 0.890 0.251 0.141


[4]
Material: CePrErPu
Method: DFT, PBE-GGA
State: relaxed

Properties
SG   No. 216
E   -7.20 eV per atom
Magnetization   8.57 μB/f.u.

Lattice parameters (Å, degrees): 7.908 7.908 7.908 90.00 90.00 90.00
Fractional positions:
Ce 0.000 0.000 0.000
Ce 0.000 0.500 0.500
Ce 0.500 0.000 0.500
Ce 0.500 0.500 0.000
Pr 0.000 0.000 0.500
Pr 0.000 0.500 0.000
Pr 0.500 0.000 0.000
Pr 0.500 0.500 0.500
Er 0.250 0.250 0.250
Er 0.250 0.750 0.750
Er 0.750 0.250 0.750
Er 0.750 0.750 0.250
Pu 0.250 0.250 0.750
Pu 0.250 0.750 0.250
Pu 0.750 0.250 0.250
Pu 0.750 0.750 0.750